# 1
Computed, not measured: an optimized crystal structure of TmTeNO at the PBE level of DFT.

```
data_TmTeNO
_cell_length_a 5.414
_cell_length_b 9.210
_cell_length_c 5.597
_cell_angle_alpha 90.00
_cell_angle_beta 90.00
_cell_angle_gamma 90.00
_space_group_name_H-M_alt 'P 1'
_space_group_IT_number 1
_space_group_name_Hall 'P 1'
loop_
_atom_site_label
_atom_site_type_symbol
_atom_site_fract_x
_atom_site_fract_y
_atom_site_fract_z
Tm1 Tm 0.034 0.389 0.435
N1 N 0.270 0.220 0.672
Te1 Te 0.469 0.119 0.410
N2 N 0.730 0.780 0.172
O1 O 0.751 0.472 0.186
N3 N 0.230 0.220 0.172
Tm2 Tm 0.966 0.611 0.935
O2 O 0.249 0.528 0.686
O3 O 0.749 0.472 0.686
Tm3 Tm 0.534 0.611 0.435
Te2 Te 0.969 0.881 0.410
N4 N 0.770 0.780 0.672
Te3 Te 0.031 0.119 0.910
Tm4 Tm 0.466 0.389 0.935
Te4 Te 0.531 0.881 0.910
O4 O 0.251 0.528 0.186
```

Properties
- M_tot: 0.0 μB/cell
- SG: Pca2_1

=====

# 2
Computed, not measured: an optimized crystal structure of TmTeNO at the PBE level of DFT.

```
data_TmTeNO
_cell_length_a 4.490
_cell_length_b 4.490
_cell_length_c 6.960
_cell_angle_alpha 90.00
_cell_angle_beta 90.00
_cell_angle_gamma 90.00
_space_group_name_H-M_alt 'P 1'
_space_group_IT_number 1
_space_group_name_Hall 'P 1'
loop_
_atom_site_label
_atom_site_type_symbol
_atom_site_fract_x
_atom_site_fract_y
_atom_site_fract_z
Tm1 Tm 0.250 0.250 0.887
O1 O 0.250 0.750 0.000
N1 N 0.750 0.750 0.438
O2 O 0.750 0.250 0.000
N2 N 0.250 0.250 0.562
Te1 Te 0.250 0.750 0.500
Tm2 Tm 0.750 0.750 0.113
Te2 Te 0.750 0.250 0.500
```

Properties
- M_tot: 0.0 μB/cell
- SG: P4/nmm

=====

# 3
Computed, not measured: an optimized crystal structure of TmTeNO at the PBE level of DFT.

```
data_TmTeNO
_cell_length_a 3.585
_cell_length_b 6.531
_cell_length_c 6.754
_cell_angle_alpha 90.00
_cell_angle_beta 90.00
_cell_angle_gamma 90.00
_space_group_name_H-M_alt 'P 1'
_space_group_IT_number 1
_space_group_name_Hall 'P 1'
loop_
_atom_site_label
_atom_site_type_symbol
_atom_site_fract_x
_atom_site_fract_y
_atom_site_fract_z
Tm1 Tm 0.000 0.004 0.675
N1 N 0.000 0.846 0.370
Te1 Te 0.500 0.005 0.275
O1 O 0.500 0.399 0.201
Te2 Te 0.500 0.505 0.725
O2 O 0.500 0.899 0.799
Tm2 Tm 0.000 0.504 0.325
N2 N 0.000 0.346 0.630
```

Properties
- M_tot: 0.0 μB/cell
- SG: Pmc2_1

=====

# 4
Computed, not measured: an optimized crystal structure of TmTeNO at the PBE level of DFT.

```
data_TmTeNO
_cell_length_a 6.252
_cell_length_b 7.039
_cell_length_c 6.315
_cell_angle_alpha 90.00
_cell_angle_beta 90.00
_cell_angle_gamma 90.00
_space_group_name_H-M_alt 'P 1'
_space_group_IT_number 1
_space_group_name_Hall 'P 1'
loop_
_atom_site_label
_atom_site_type_symbol
_atom_site_fract_x
_atom_site_fract_y
_atom_site_fract_z
N1 N 0.926 0.899 0.160
O1 O 0.086 0.474 0.075
Te1 Te 0.595 0.275 0.957
N2 N 0.574 0.899 0.660
O2 O 0.414 0.474 0.575
N3 N 0.074 0.101 0.660
Te2 Te 0.405 0.725 0.457
N4 N 0.426 0.101 0.160
O3 O 0.586 0.526 0.075
Tm1 Tm 0.101 0.180 0.010
Te3 Te 0.095 0.725 0.957
Tm2 Tm 0.399 0.180 0.510
Tm3 Tm 0.601 0.820 0.010
O4 O 0.914 0.526 0.575
Te4 Te 0.905 0.275 0.457
Tm4 Tm 0.899 0.820 0.510
```

Properties
- M_tot: 0.0 μB/cell
- SG: Pca2_1

=====

# 5
Computed, not measured: an optimized crystal structure of TmTeNO at the PBE level of DFT.

```
data_TmTeNO
_cell_length_a 4.101
_cell_length_b 6.147
_cell_length_c 6.207
_cell_angle_alpha 90.00
_cell_angle_beta 90.00
_cell_angle_gamma 90.00
_space_group_name_H-M_alt 'P 1'
_space_group_IT_number 1
_space_group_name_Hall 'P 1'
loop_
_atom_site_label
_atom_site_type_symbol
_atom_site_fract_x
_atom_site_fract_y
_atom_site_fract_z
Te1 Te 0.000 0.072 0.665
Tm1 Tm 0.500 0.977 0.202
N1 N 0.000 0.429 0.636
Tm2 Tm 0.500 0.477 0.798
O1 O 0.500 0.777 0.938
Te2 Te 0.000 0.572 0.335
O2 O 0.500 0.277 0.062
N2 N 0.000 0.929 0.364
```

Properties
- M_tot: 0.0 μB/cell
- SG: Pmc2_1

=====

# 6
Computed, not measured: an optimized crystal structure of TmTeNO at the PBE level of DFT.

```
data_TmTeNO
_cell_length_a 4.988
_cell_length_b 4.988
_cell_length_c 4.791
_cell_angle_alpha 90.00
_cell_angle_beta 90.00
_cell_angle_gamma 90.00
_space_group_name_H-M_alt 'P 1'
_space_group_IT_number 1
_space_group_name_Hall 'P 1'
loop_
_atom_site_label
_atom_site_type_symbol
_atom_site_fract_x
_atom_site_fract_y
_atom_site_fract_z
Tm1 Tm 0.750 0.250 0.500
Tm2 Tm 0.250 0.750 0.500
N1 N 0.750 0.750 0.421
O1 O 0.250 0.750 0.000
Te1 Te 0.250 0.250 0.017
N2 N 0.250 0.250 0.579
O2 O 0.750 0.250 0.000
Te2 Te 0.750 0.750 0.983
```

Properties
- M_tot: 0.0 μB/cell
- SG: P4/nmm

=====

# 7
Computed, not measured: an optimized crystal structure of TlZnNO at the PBE level of DFT.

```
data_TlZnNO
_cell_length_a 5.931
_cell_length_b 7.138
_cell_length_c 5.578
_cell_angle_alpha 90.00
_cell_angle_beta 90.00
_cell_angle_gamma 90.00
_space_group_name_H-M_alt 'P 1'
_space_group_IT_number 1
_space_group_name_Hall 'P 1'
loop_
_atom_site_label
_atom_site_type_symbol
_atom_site_fract_x
_atom_site_fract_y
_atom_site_fract_z
Zn1 Zn 0.089 0.102 0.991
Zn2 Zn 0.411 0.102 0.491
Zn3 Zn 0.589 0.898 0.991
Tl1 Tl 0.946 0.342 0.494
Tl2 Tl 0.054 0.658 0.994
O1 O 0.433 0.633 0.082
O2 O 0.933 0.367 0.082
N1 N 0.396 0.099 0.136
Zn4 Zn 0.911 0.898 0.491
Tl3 Tl 0.554 0.342 0.994
O3 O 0.067 0.633 0.582
N2 N 0.604 0.901 0.636
Tl4 Tl 0.446 0.658 0.494
N3 N 0.896 0.901 0.136
O4 O 0.567 0.367 0.582
N4 N 0.104 0.099 0.636
```

Properties
- SG: Pca2_1

=====

# 8
Computed, not measured: an optimized crystal structure of TlZnNO at the PBE level of DFT.

```
data_TlZnNO
_cell_length_a 4.548
_cell_length_b 4.548
_cell_length_c 5.022
_cell_angle_alpha 90.00
_cell_angle_beta 90.00
_cell_angle_gamma 90.00
_space_group_name_H-M_alt 'P 1'
_space_group_IT_number 1
_space_group_name_Hall 'P 1'
loop_
_atom_site_label
_atom_site_type_symbol
_atom_site_fract_x
_atom_site_fract_y
_atom_site_fract_z
Tl1 Tl 0.500 0.500 0.500
O1 O 0.000 0.000 0.000
N1 N 0.000 0.500 0.447
Zn1 Zn 0.500 0.000 0.964
Tl2 Tl 0.000 0.000 0.500
Zn2 Zn 0.000 0.500 0.036
N2 N 0.500 0.000 0.553
O2 O 0.500 0.500 0.000
```

Properties
- SG: P4/nmm

=====

# 9
Computed, not measured: an optimized crystal structure of TlZnNO at the PBE level of DFT.

```
data_TlZnNO
_cell_length_a 3.563
_cell_length_b 5.622
_cell_length_c 5.945
_cell_angle_alpha 90.00
_cell_angle_beta 90.00
_cell_angle_gamma 90.00
_space_group_name_H-M_alt 'P 1'
_space_group_IT_number 1
_space_group_name_Hall 'P 1'
loop_
_atom_site_label
_atom_site_type_symbol
_atom_site_fract_x
_atom_site_fract_y
_atom_site_fract_z
Tl1 Tl 0.500 0.992 0.186
Tl2 Tl 0.500 0.492 0.814
Zn1 Zn 0.000 0.003 0.656
O1 O 0.500 0.902 0.812
Zn2 Zn 0.000 0.503 0.344
N1 N 0.000 0.357 0.650
N2 N 0.000 0.857 0.350
O2 O 0.500 0.402 0.188
```

Properties
- SG: Pmc2_1

=====

# 10
Computed, not measured: an optimized crystal structure of TlZnNO at the PBE level of DFT.

```
data_TlZnNO
_cell_length_a 3.499
_cell_length_b 5.648
_cell_length_c 5.980
_cell_angle_alpha 90.00
_cell_angle_beta 90.00
_cell_angle_gamma 90.00
_space_group_name_H-M_alt 'P 1'
_space_group_IT_number 1
_space_group_name_Hall 'P 1'
loop_
_atom_site_label
_atom_site_type_symbol
_atom_site_fract_x
_atom_site_fract_y
_atom_site_fract_z
Tl1 Tl 0.000 0.509 0.338
N1 N 0.000 0.398 0.695
Tl2 Tl 0.000 0.009 0.662
Zn1 Zn 0.500 0.493 0.831
Zn2 Zn 0.500 0.993 0.169
N2 N 0.000 0.898 0.305
O1 O 0.500 0.855 0.854
O2 O 0.500 0.355 0.146
```

Properties
- SG: Pmc2_1

=====

# 11
Computed, not measured: an optimized crystal structure of TlZnNO at the PBE level of DFT.

```
data_TlZnNO
_cell_length_a 5.966
_cell_length_b 7.065
_cell_length_c 5.567
_cell_angle_alpha 90.00
_cell_angle_beta 90.00
_cell_angle_gamma 90.00
_space_group_name_H-M_alt 'P 1'
_space_group_IT_number 1
_space_group_name_Hall 'P 1'
loop_
_atom_site_label
_atom_site_type_symbol
_atom_site_fract_x
_atom_site_fract_y
_atom_site_fract_z
Zn1 Zn 0.411 0.884 0.488
O1 O 0.902 0.098 0.123
Tl1 Tl 0.579 0.634 0.995
N1 N 0.060 0.352 0.596
O2 O 0.098 0.902 0.623
Tl2 Tl 0.421 0.366 0.495
N2 N 0.560 0.648 0.596
O3 O 0.598 0.098 0.623
N3 N 0.440 0.352 0.096
Tl3 Tl 0.079 0.366 0.995
N4 N 0.940 0.648 0.096
Tl4 Tl 0.921 0.634 0.495
Zn2 Zn 0.089 0.884 0.988
Zn3 Zn 0.589 0.116 0.988
O4 O 0.402 0.902 0.123
Zn4 Zn 0.911 0.116 0.488
```

Properties
- SG: Pca2_1

=====

no.,energy relative to the lowest polymorph listed for this composition (eV/atom),electronic total energy (eV per atom)
1,0.0000,-6.759
2,0.4474,-6.311
3,0.4487,-6.310
4,0.4318,-6.327
5,0.3954,-6.363
6,0.7480,-6.011
7,0.0718,-4.360
8,0.2630,-4.169
9,0.0227,-4.409
10,0.0078,-4.424
11,0.0000,-4.432